Record 1
A relaxed Ga3Mo crystal, computed with PBE.

Structure (POSCAR):
```
Ga3Mo
1.0
-1.451 4.525 2.415
1.451 -4.525 2.415
1.451 4.525 -2.415
Ga Mo
3 1
direct
0.000 0.000 0.000 Ga
0.424 0.666 0.758 Ga
0.908 0.666 0.242 Ga
0.483 0.983 0.500 Mo
```

Output
* calculated total energy: -5.00 eV/atom
* energy of formation: -0.018 eV per atom
* E above lowest polymorph: 45 meV per atom



Record 2
A relaxed Ga3Mo2 crystal, computed with PBE.

Structure (POSCAR):
```
Ga3Mo2
1.0
4.640 -1.779 0.000
4.640 1.779 0.000
-4.148 0.000 4.693
Ga Mo
3 2
direct
0.000 0.000 0.000 Ga
0.202 0.202 0.786 Ga
0.798 0.798 0.214 Ga
0.424 0.424 0.640 Mo
0.576 0.576 0.360 Mo
```

Output
* calculated total energy: -6.20 eV/atom
* energy of formation: -0.056 eV per atom



Record 3
A relaxed GaMo2N2 crystal, computed with PBE.

Structure (POSCAR):
```
GaMo2N2
1.0
-1.974 1.974 4.533
1.974 -1.974 4.533
1.974 1.974 -4.533
Ga Mo N
1 2 2
direct
0.000 0.000 0.000 Ga
0.250 0.750 0.500 Mo
0.750 0.250 0.500 Mo
0.320 0.320 0.000 N
0.680 0.680 0.000 N
```

Output
* calculated total energy: -8.08 eV/atom
* E above lowest polymorph: 0 meV per atom



Record 4
A relaxed GaMo2N2 crystal, computed with PBE.

Structure (POSCAR):
```
GaMo2N2
1.0
6.381 0.000 0.000
0.000 6.381 0.000
0.000 0.000 2.717
Ga Mo N
2 4 4
direct
0.000 0.000 0.000 Ga
0.500 0.500 0.000 Ga
0.159 0.341 0.500 Mo
0.341 0.841 0.500 Mo
0.659 0.159 0.500 Mo
0.841 0.659 0.500 Mo
0.133 0.633 0.000 N
0.367 0.133 0.000 N
0.633 0.867 0.000 N
0.867 0.367 0.000 N
```

Output
* calculated total energy: -7.88 eV/atom
* E above lowest polymorph: 197 meV per atom



> Which value of calculated total energy does entry 1 give?

-5.00 eV/atom



> Which of these has the highest calculated total energy?

Ga3Mo